Computed, not measured: Nd2Ge3Pd after structural relaxation at the PBEsol level of DFT.

```
Nd2Ge3Pd
1.0
-3.900 -1.106 -0.407
1.208 -4.169 -0.240
-0.586 -0.584 7.195
Nd Ge Pd
2 3 1
Direct
0.000 0.500 0.997
0.000 0.000 0.503
0.500 0.000 0.834
0.500 0.000 0.175
0.500 0.500 0.663
0.500 0.500 0.328
```

Summary:
DFT total energy ... -6.05 eV per atom
Space group ... Pmm2, No. 25
Fermi-level density of states ... 2.4 states/eV/cell
Energy of formation from the pure elements ... -0.8686 eV/atom



Computed, not measured: SrLiY2 after structural relaxation at the PBEsol level of DFT.

```
SrLiY2
1.0
-1.548 -2.962 0.936
3.230 -0.687 -1.070
3.770 1.351 10.514
Li Sr Y
1 1 2
Direct
0.500 0.500 0.500
0.500 0.500 0.000
0.000 0.000 0.277
0.000 0.000 0.723
```

Summary:
DFT total energy ... -4.10 eV per atom
Energy relative to the lowest polymorph listed for this composition ... 2.19 kcal/mol of atoms
Space group ... Cmmm, No. 65
Fermi-level density of states ... 4.2 states/eV/cell
Energy of formation from the pure elements ... 0.2599 eV/atom



Computed, not measured: ZnSb2Rh after structural relaxation at the PBEsol level of DFT.

```
ZnSb2Rh
1.0
-2.242 1.409 -1.842
-2.658 -1.627 -0.834
-5.776 2.932 6.452
Rh Sb Zn
1 2 1
Direct
0.753 0.753 0.740
0.018 0.018 0.945
0.241 0.241 0.276
0.487 0.487 0.540
```

Summary:
DFT total energy ... -4.70 eV per atom
Space group ... R3m, No. 160
Fermi-level density of states ... 2.7 states/eV/cell
E_form (uncorrected) ... 0.010 eV/atom



Computed, not measured: NiMo2Ru after structural relaxation at the PBEsol level of DFT.

```
NiMo2Ru
1.0
-0.083 -2.588 -1.067
4.290 -0.620 1.172
-2.111 -0.131 4.157
Mo Ni Ru
2 1 1
Direct
0.246 0.246 0.492
0.754 0.754 0.508
0.500 0.000 0.000
0.000 0.500 0.000
```

Summary:
DFT total energy ... -9.80 eV per atom
Space group ... C2/m, No. 12
Fermi-level density of states ... 4.3 states/eV/cell
Energy of formation from the pure elements ... 0.1668 eV/atom



Computed, not measured: CrSCl2F after structural relaxation at the PBEsol level of DFT.

```
CrSCl2F
1.0
4.549 0.000 0.000
0.000 4.549 0.000
0.000 0.000 4.366
Cr S F Cl
1 1 1 2
Direct
0.000 0.000 0.000
0.000 0.000 0.500
0.500 0.500 0.500
0.000 0.500 0.000
0.500 0.000 0.000
```

Summary:
DFT total energy ... -4.41 eV per atom
Space group ... P4/mmm, No. 123
Fermi-level density of states ... 5.1 states/eV/cell
E_form (uncorrected) ... -0.299 eV/atom



Computed, not measured: Li2Mn3TeO8 after structural relaxation at the PBEsol level of DFT.

```
Li2Mn3TeO8
1.0
5.786 -0.071 0.045
-2.924 4.994 -0.045
-2.681 -1.735 10.667
Mn Te O Li
6 2 16 4
Direct
0.500 0.000 0.500
0.000 0.500 0.500
0.500 0.500 0.500
0.500 0.500 0.000
0.000 0.000 0.000
0.500 0.000 0.000
0.540 0.290 0.250
0.460 0.710 0.750
0.269 0.128 0.910
0.281 0.640 0.410
0.719 0.360 0.590
0.731 0.872 0.090
0.265 0.352 0.112
0.260 0.848 0.612
0.733 0.370 0.077
0.703 0.817 0.637
0.320 0.933 0.137
0.207 0.344 0.577
0.793 0.656 0.423
0.680 0.067 0.863
0.297 0.183 0.363
0.267 0.630 0.923
0.740 0.152 0.388
0.735 0.648 0.888
0.096 0.032 0.661
0.129 0.566 0.161
0.871 0.434 0.839
0.904 0.968 0.339
```

Summary:
DFT total energy ... -7.21 eV per atom
Energy relative to the lowest polymorph listed for this composition ... 0.00 kcal/mol of atoms
Space group ... C2/c, No. 15
Fermi-level density of states ... 7.2 states/eV/cell
E_form (uncorrected) ... -1.590 eV/atom



Computed, not measured: Sn2BiSeN after structural relaxation at the PBEsol level of DFT.

```
Sn2BiSeN
1.0
4.331 0.000 0.000
0.000 4.954 0.000
0.000 0.000 4.954
N Bi Se Sn
1 1 1 2
Direct
0.000 0.000 0.000
0.500 0.500 0.500
0.500 0.000 0.000
0.000 0.000 0.500
0.000 0.500 0.000
```

Summary:
DFT total energy ... -4.69 eV per atom
Space group ... P4/mmm, No. 123
Fermi-level density of states ... 2.0 states/eV/cell
E_form (uncorrected) ... 0.347 eV/atom



Computed, not measured: Al2IrPb after structural relaxation at the PBEsol level of DFT.

```
Al2IrPb
1.0
2.978 0.000 0.000
0.000 3.002 0.000
0.000 0.000 8.279
Pb Ir Al
1 1 2
Direct
0.000 0.500 0.500
0.500 0.500 0.000
0.000 0.000 0.817
0.000 0.000 0.183
```

Summary:
DFT total energy ... -5.81 eV per atom
Space group ... Pmmm, No. 47
Fermi-level density of states ... 1.5 states/eV/cell
Energy of formation from the pure elements ... -0.3098 eV/atom



Computed, not measured: NbCrW2S after structural relaxation at the PBEsol level of DFT.

```
NbCrW2S
1.0
-1.372 0.753 4.274
-0.196 -4.774 0.778
4.611 0.050 1.472
Cr Nb S W
1 1 1 2
Direct
0.500 0.500 0.500
0.000 0.000 0.000
0.500 0.000 0.000
0.000 0.000 0.500
0.000 0.500 0.000
```

Summary:
DFT total energy ... -8.48 eV per atom
Space group ... P4/mmm, No. 123
Fermi-level density of states ... 7.7 states/eV/cell
E_form (uncorrected) ... 2.137 eV/atom



Computed, not measured: GaHRu3 after structural relaxation at the PBEsol level of DFT.

```
GaHRu3
1.0
3.841 0.000 0.000
0.000 3.841 0.000
0.000 0.000 3.841
Ru Ga H
3 1 1
Direct
0.000 0.500 0.000
0.000 0.000 0.500
0.500 0.000 0.000
0.500 0.500 0.500
0.000 0.000 0.000
```

Summary:
DFT total energy ... -7.32 eV per atom
Space group ... Pm-3m, No. 221
Fermi-level density of states ... 7.8 states/eV/cell



Computed, not measured: Na2Co2Si after structural relaxation at the PBEsol level of DFT.

```
Na2Co2Si
1.0
4.910 0.000 0.000
0.000 5.685 0.000
0.000 0.000 5.685
Na Si Co
4 2 4
Direct
0.500 0.178 0.678
0.500 0.678 0.822
0.500 0.822 0.322
0.500 0.322 0.178
0.000 0.000 0.000
0.000 0.500 0.500
0.000 0.362 0.862
0.000 0.862 0.638
0.000 0.638 0.138
0.000 0.138 0.362
```

Summary:
DFT total energy ... -4.62 eV per atom
Space group ... P4/mbm, No. 127
Fermi-level density of states ... 8.3 states/eV/cell
E_form (uncorrected) ... 0.187 eV/atom



Computed, not measured: Ca3W after structural relaxation at the PBEsol level of DFT.

```
Ca3W
1.0
4.784 0.000 0.000
0.000 4.784 0.000
0.000 0.000 4.784
Ca W
3 1
Direct
0.000 0.500 0.500
0.500 0.000 0.500
0.500 0.500 0.000
0.000 0.000 0.000
```

Summary:
DFT total energy ... -4.04 eV per atom
Space group ... Pm-3m, No. 221
Fermi-level density of states ... 5.3 states/eV/cell
Energy of formation from the pure elements ... 1.0072 eV/atom



What is the DFT total energy in the tenth record? -7.32 eV per atom



Fermi-level density of states of number 3 (ZnSb2Rh)? 2.7 states/eV/cell



Look up the DFT total energy of the fifth one. -4.41 eV per atom



Repeat the third record exactly.
Computed, not measured: ZnSb2Rh after structural relaxation at the PBEsol level of DFT.

```
ZnSb2Rh
1.0
-2.242 1.409 -1.842
-2.658 -1.627 -0.834
-5.776 2.932 6.452
Rh Sb Zn
1 2 1
Direct
0.753 0.753 0.740
0.018 0.018 0.945
0.241 0.241 0.276
0.487 0.487 0.540
```

Summary:
DFT total energy ... -4.70 eV per atom
Space group ... R3m, No. 160
Fermi-level density of states ... 2.7 states/eV/cell
E_form (uncorrected) ... 0.010 eV/atom